1.
The following is a DFT calculation (GGA-PBE) of a relaxed YNb crystal.

Structure (POSCAR):
```
YNb
1.0
-1.6650 5.0560 -0.4593
-2.9888 -1.1305 -1.6096
-4.6209 -0.6978 9.0708
Nb Y
4 4
direct
0.5000 0.7500 0.9088
0.0000 0.7500 0.5912
0.5000 0.2500 0.0912
0.0000 0.2500 0.4088
0.5000 0.2500 0.6421
0.0000 0.7500 0.1421
0.5000 0.7500 0.3579
0.0000 0.2500 0.8579
```

Properties
Total DFT energy (no corrections) in eV per cell: -64.45
Energy relative to the lowest polymorph listed for this composition in meV per atom: 91
Fermi-level density of states in states/eV per cell: 8.63
E_form in eV/atom: 0.2107
Symmetry: No. 74
Total magnetic moment in μB per formula unit: 0.00

2.
The following is a DFT calculation (GGA-PBE) of a relaxed CaNd4Mg crystal.

Structure (POSCAR):
```
CaNd4Mg
1.0
-1.5743 -3.2678 -0.8138
1.5375 -1.4968 3.0357
-12.0024 3.8016 7.9535
Nd Mg Ca
4 1 1
direct
0.0000 0.0000 0.3528
0.5000 0.5000 0.8130
0.5000 0.5000 0.1870
0.0000 0.0000 0.6472
0.5000 0.5000 0.5000
0.0000 0.0000 0.0000
```

Properties
Total DFT energy (no corrections) in eV per cell: -22.74
Fermi-level density of states in states/eV per cell: 7.76
E_form in eV/atom: -0.0114
Symmetry: No. 123
Total magnetic moment in μB per formula unit: 0.00